[1]
Here is an optimized crystal structure of VBr3 from Alexandria. Energies are from GGA-PBE.

## Properties
* total magnetic moment: 2.8 μB per formula unit
* final energy: -3.360 eV per atom
* energy relative to the elements, uncorrected: 16.9 kJ per mole of atoms
* DOS at the Fermi energy: 0.995 states/eV/atom

The structure in extended XYZ format:
```
4
Lattice="1.7939 1.0357 11.6472 -1.7939 1.0357 11.6472 0.0000 -2.0714 11.6472" Properties=species:S:1:pos:R:3 pbc="T T T"
V 0.0000 0.0000 0.0000
Br 0.0000 0.0000 2.2929
Br 0.0000 0.0000 17.4708
Br 0.0000 0.0000 32.6486
```


[2]
Here is an optimized crystal structure of Ce2P4Os3Ru from Alexandria. Energies are from GGA-PBE.

## Properties
* total magnetic moment: 0.0 μB per formula unit
* final energy: -8.488 eV per atom
* DOS at the Fermi energy: 0.835 states/eV/atom
* ΔH_f (0 K): -0.841 eV/atom

The structure in extended XYZ format:
```
10
Lattice="4.1928 0.0000 0.0000 0.0000 4.1928 0.0000 0.0000 0.0000 9.3811" Properties=species:S:1:pos:R:3 pbc="T T T"
Ce 0.0000 2.0964 2.2528
Ce 2.0964 0.0000 7.1282
P 0.0000 0.0000 0.0000
P 0.0000 2.0964 5.8909
P 2.0964 0.0000 3.4901
P 2.0964 2.0964 0.0000
Os 0.0000 2.0964 8.2614
Os 2.0964 0.0000 1.1197
Os 2.0964 2.0964 4.6905
Ru 0.0000 0.0000 4.6905
```


[3]
Here is an optimized crystal structure of TiRh3S from Alexandria. Energies are from GGA-PBE.

## Properties
* total magnetic moment: 0.0 μB per formula unit
* final energy: -6.756 eV per atom
* relative energy among the computed polymorphs: 0.000 eV/atom
* energy relative to the elements, uncorrected: 5.7 kJ per mole of atoms
* DOS at the Fermi energy: 1.558 states/eV/atom

The structure in extended XYZ format:
```
5
Lattice="4.3668 0.0000 0.0000 0.0000 4.3668 0.0000 0.0000 0.0000 4.3668" Properties=species:S:1:pos:R:3 pbc="T T T"
Ti 0.0000 0.0000 0.0000
Rh 0.0000 2.1834 2.1834
Rh 2.1834 0.0000 2.1834
Rh 2.1834 2.1834 0.0000
S 2.1834 2.1834 2.1834
```


[4]
Here is an optimized crystal structure of CaLa2Cr from Alexandria. Energies are from GGA-PBE.

## Properties
* total magnetic moment: 4.5 μB per formula unit
* final energy: -4.899 eV per atom
* relative energy among the computed polymorphs: 0.206 eV/atom
* DOS at the Fermi energy: 1.256 states/eV/atom
* ΔH_f (0 K): 0.471 eV/atom

The structure in extended XYZ format:
```
4
Lattice="3.3938 -5.8446 0.0000 3.3938 5.8446 0.0000 -1.4095 0.0000 3.2347" Properties=species:S:1:pos:R:3 pbc="T T T"
Ca 0.0000 0.0000 0.0000
La 0.9921 2.9223 1.6174
La 0.9921 -2.9223 1.6174
Cr 3.3938 0.0000 0.0000
```


[5]
Here is an optimized crystal structure of K4BiH from Alexandria. Energies are from GGA-PBE.

## Properties
* total magnetic moment: 0.0 μB per formula unit
* final energy: -2.233 eV per atom
* relative energy among the computed polymorphs: 0.000 eV/atom

The structure in extended XYZ format:
```
12
Lattice="2.9793 -9.4567 0.0000 2.9793 9.4567 0.0000 0.0000 0.0000 7.6826" Properties=species:S:1:pos:R:3 pbc="T T T"
K 0.0000 0.0000 0.0000
K 0.0000 0.0000 3.8413
K 2.9793 5.8438 3.8650
K 2.9793 5.8438 7.6588
K 2.9793 1.4294 5.7619
K 2.9793 -1.4294 1.9206
K 2.9793 -5.8438 0.0238
K 2.9793 -5.8438 3.8175
Bi 2.9793 2.4036 1.9206
Bi 2.9793 -2.4036 5.7619
H 2.9793 7.6665 1.9206
H 2.9793 -7.6665 5.7619
```


[6]
Here is an optimized crystal structure of PmNiSn from Alexandria. Energies are from GGA-PBE.

## Properties
* total magnetic moment: 0.1 μB per formula unit
* final energy: -5.394 eV per atom
* relative energy among the computed polymorphs: 0.093 eV/atom
* DOS at the Fermi energy: 2.337 states/eV/atom
* ΔH_f (0 K): -0.550 eV/atom

The structure in extended XYZ format:
```
3
Lattice="0.0000 3.2696 3.2696 3.2696 0.0000 3.2696 3.2696 3.2696 0.0000" Properties=species:S:1:pos:R:3 pbc="T T T"
Pm 0.0000 0.0000 0.0000
Ni 4.9045 4.9045 4.9045
Sn 3.2696 3.2696 3.2696
```


[7]
Here is an optimized crystal structure of LiCoH4 from Alexandria. Energies are from GGA-PBE.

## Properties
* total magnetic moment: 0.0 μB per formula unit
* final energy: -3.820 eV per atom
* relative energy among the computed polymorphs: 0.000 eV/atom
* DOS at the Fermi energy: 0.130 states/eV/atom

The structure in extended XYZ format:
```
12
Lattice="2.2783 -4.5094 0.0000 2.2783 4.5094 0.0000 -1.0498 0.0000 4.2836" Properties=species:S:1:pos:R:3 pbc="T T T"
Li 1.4910 3.3813 3.2127
Li 2.0158 -3.3813 1.0709
Co 1.4910 0.4710 3.2127
Co 2.0158 -0.4710 1.0709
H 1.0681 1.6366 2.3876
H 0.2149 0.4958 4.1798
H 0.7398 -0.4958 2.0380
H 1.9138 1.6366 4.0378
H 1.5930 -1.6366 0.2458
H 2.7671 0.4958 2.2455
H 3.2919 -0.4958 0.1037
H 2.4387 -1.6366 1.8960
```


[8]
Here is an optimized crystal structure of MgCuGe from Alexandria. Energies are from GGA-PBE.

## Properties
* total magnetic moment: 0.0 μB per formula unit
* final energy: -3.577 eV per atom
* DOS at the Fermi energy: 0.336 states/eV/atom
* ΔH_f (0 K): -0.141 eV/atom

The structure in extended XYZ format:
```
6
Lattice="3.8239 -3.6579 0.0000 3.8239 3.6579 0.0000 -2.2279 0.0000 3.5547" Properties=species:S:1:pos:R:3 pbc="T T T"
Mg 0.0000 0.0000 0.0000
Mg 2.7100 -0.4908 1.7774
Cu 0.0574 -1.4448 2.5461
Cu 5.3626 -1.4448 1.0086
Ge 0.4240 0.9669 2.7842
Ge 4.9960 0.9669 0.7705
```